Entry 1:
Below is crystalline NaPm2Ho at its relaxed geometry, with properties calculated at the PBE-GGA level.

As for the magnetization: 0.00 μB per formula unit. The calculation puts the energy of formation at 0.132 eV/atom.

The structure belongs to space group R-3m (No. 166, hexagonal axes); the cell edges are 3.5486, 3.5486 and 38.4559 Å and the angles 90.00°, 90.00° and 120.00°. The inequivalent atoms are Na at (0.0000, 0.0000, 0.0000), Pm at (0.0000, 0.0000, 0.0922) and Ho at (0.0000, 0.0000, 0.5000).

---

Entry 2:
Below is crystalline NaPm2Ho at its relaxed geometry, with properties calculated at the PBE-GGA level.

As for the magnetization: 0.00 μB per formula unit. The calculation puts the energy of formation at 0.103 eV/atom.

The structure belongs to space group P4/mmm (No. 123); the cell edges are 3.5303, 3.5303 and 10.8988 Å and the angles 90.00°, 90.00° and 90.00°. The inequivalent atoms are Na at (0.0000, 0.0000, 0.0000), Pm at (0.5000, 0.5000, 0.2680) and Ho at (0.0000, 0.0000, 0.5000).

---

Entry 3:
Below is crystalline NaPmHo at its relaxed geometry, with properties calculated at the PBE-GGA level.

As for the magnetization: 0.00 μB per formula unit. The calculation puts the energy of formation at 0.129 eV/atom.

The structure belongs to space group P3m1 (No. 156); the cell edges are 3.5679, 3.5679 and 9.2068 Å and the angles 90.00°, 90.00° and 120.00°. The inequivalent atoms are Na at (0.0000, 0.0000, 0.0000), Pm at (0.6667, 0.3333, 0.3530) and Ho at (0.3333, 0.6667, 0.6546).

---

Entry 4:
Below is crystalline NaPmHo at its relaxed geometry, with properties calculated at the PBE-GGA level.

As for the magnetization: 0.00 μB per formula unit. The calculation puts the energy of formation at 0.148 eV/atom.

The structure belongs to space group I4mm (No. 107); the cell edges are 3.5253, 3.5253 and 16.3252 Å and the angles 90.00°, 90.00° and 90.00°. The inequivalent atoms are Na at (0.0000, 0.0000, 0.0000), Pm at (0.0000, 0.0000, 0.6776) and Ho at (0.0000, 0.0000, 0.3273).

---

Entry 5:
Below is crystalline NaPm2Ho at its relaxed geometry, with properties calculated at the PBE-GGA level.

As for the magnetization: 0.00 μB per formula unit. The calculation puts the energy of formation at 0.206 eV/atom.

The structure belongs to space group P4/mmm (No. 123); the cell edges are 5.9244, 5.9244 and 3.7475 Å and the angles 90.00°, 90.00° and 90.00°. The inequivalent atoms are Na at (0.0000, 0.0000, 0.0000), Pm at (0.0000, 0.5000, 0.5000) and Ho at (0.5000, 0.5000, 0.0000).

---

Entry 6:
Below is crystalline NaPmHo at its relaxed geometry, with properties calculated at the PBE-GGA level.

As for the magnetization: 0.00 μB per formula unit. The calculation puts the energy of formation at 0.441 eV/atom.

The structure belongs to space group P4/nmm (No. 129, origin choice 2); the cell edges are 4.4014, 4.4014 and 11.6326 Å and the angles 90.00°, 90.00° and 90.00°. The inequivalent atoms are Na at (0.2500, 0.2500, 0.0790), Pm at (0.2500, 0.2500, 0.7376) and Ho at (0.2500, 0.7500, 0.5000).

---

Entry 7:
Below is crystalline NaPmHo at its relaxed geometry, with properties calculated at the PBE-GGA level.

As for the magnetization: 0.00 μB per formula unit. The calculation puts the energy of formation at 0.130 eV/atom.

The structure belongs to space group P-1 (No. 2); the cell edges are 3.5876, 6.1568 and 9.4302 Å and the angles 83.72°, 79.34° and 89.88°. The inequivalent atoms are Na at (0.2486, 0.2533, 0.0021), Pm at (0.0738, 0.8572, 0.3481) and Ho at (0.4289, 0.6408, 0.6490).

---

Entry 8:
Below is crystalline NaPm4HoS8 at its relaxed geometry, with properties calculated at the PBE-GGA level.

The calculation puts the total energy at -6.07 eV per atom. As for the magnetization: 0.00 μB per formula unit.

The structure belongs to space group R3m (No. 160, hexagonal axes); the cell edges are 8.3047, 8.3047 and 20.0514 Å and the angles 90.00°, 90.00° and 120.00°. The inequivalent atoms are Na at (0.0000, 0.0000, 0.0000), Pm at (0.0000, 0.0000, 0.2477), Pm at (0.1722, 0.3443, 0.4557), Ho at (0.0000, 0.0000, 0.6283), S at (0.0000, 0.0000, 0.3817), S at (0.0000, 0.0000, 0.8636), S at (0.0326, 0.5163, 0.3748) and S at (0.1800, 0.3599, 0.2066).

---

Entry 9:
Below is crystalline Na3Pm2HoS6 at its relaxed geometry, with properties calculated at the PBE-GGA level.

The calculation puts the total energy at -5.39 eV per atom. As for the magnetization: 0.00 μB per formula unit.

The structure belongs to space group C2/m (No. 12); the cell edges are 7.0245, 12.1665 and 7.0901 Å and the angles 90.00°, 109.30° and 90.00°. The inequivalent atoms are Na at (0.0000, 0.0000, 0.0000), Na at (0.0000, 0.3333, 0.0000), Pm at (0.0000, 0.1666, 0.5000), Ho at (0.0000, 0.5000, 0.5000), S at (0.2395, 0.3371, 0.7301) and S at (0.2492, 0.5000, 0.2710).

---

Entry 10:
Below is crystalline Na3PmHo2S6 at its relaxed geometry, with properties calculated at the PBE-GGA level.

The calculation puts the total energy at -5.39 eV per atom. As for the magnetization: 0.00 μB per formula unit.

The structure belongs to space group C2/m (No. 12); the cell edges are 6.9481, 12.0343 and 7.0761 Å and the angles 90.00°, 109.11° and 90.00°. The inequivalent atoms are Na at (0.0000, 0.0000, 0.0000), Na at (0.0000, 0.3337, 0.0000), Pm at (0.0000, 0.5000, 0.5000), Ho at (0.0000, 0.1668, 0.5000), S at (0.2350, 0.0000, 0.7282) and S at (0.2464, 0.3295, 0.7274).